Record 1
The following is a PBE calculation of a relaxed MgTlIrPd crystal, from Alexandria via LeMat-Bulk.

Computed properties:
The calculated density comes out at 12.712 Mg/m³. The formation energy comes out at -155 meV/atom. Its space-group type is F-43m. The calculation puts the size of the total moment at 0.000 μB/atom. The density of states at the Fermi level comes out at 2.16 states/eV/cell.

a b c (Å): 4.601 4.601 4.601
angles (deg): 60.00 60.00 60.00
Fractional coordinates of all 4 atoms:
Mg (0.000, 0.000, 0.000)
Tl (0.500, 0.500, 0.500)
Ir (0.250, 0.250, 0.250)
Pd (0.750, 0.750, 0.750)

=====

Record 2
The following is a PBE calculation of a relaxed Ce5TlGe2 crystal, from Alexandria via LeMat-Bulk.

Computed properties:
Its energy above the most stable polymorph in this dataset is 0.066 eV/atom. The calculated density comes out at 8.130 Mg/m³. The formation energy comes out at -383 meV/atom. Its space-group type is Cmcm. The calculation puts the size of the total moment at 0.424 μB/atom. The density of states at the Fermi level comes out at 45.84 states/eV/cell.

a b c (Å): 5.463 5.463 17.090
angles (deg): 90.00 90.00 122.73
Fractional coordinates of all 16 atoms:
Ce (0.065, 0.935, 0.568)
Ce (0.065, 0.935, 0.932)
Ce (0.263, 0.737, 0.250)
Ce (0.411, 0.589, 0.598)
Ce (0.411, 0.589, 0.902)
Ce (0.589, 0.411, 0.098)
Ce (0.589, 0.411, 0.402)
Ce (0.737, 0.263, 0.750)
Ce (0.935, 0.065, 0.068)
Ce (0.935, 0.065, 0.432)
Tl (0.060, 0.940, 0.750)
Tl (0.940, 0.060, 0.250)
Ge (0.266, 0.734, 0.074)
Ge (0.266, 0.734, 0.426)
Ge (0.734, 0.266, 0.574)
Ge (0.734, 0.266, 0.926)

=====

Record 3
The following is a PBE calculation of a relaxed MgIrRh4 crystal, from Alexandria via LeMat-Bulk.

Computed properties:
Its energy above the most stable polymorph in this dataset is 0.329 eV/atom. The calculated density comes out at 11.111 Mg/m³. The formation energy comes out at 212 meV/atom. Its space-group type is F-43m. The calculation puts the size of the total moment at 0.182 μB/atom. The density of states at the Fermi level comes out at 12.53 states/eV/cell.

a b c (Å): 5.101 5.101 5.101
angles (deg): 60.00 60.00 60.00
Fractional coordinates of all 6 atoms:
Mg (0.000, 0.000, 0.000)
Ir (0.250, 0.250, 0.250)
Rh (0.125, 0.625, 0.625)
Rh (0.625, 0.125, 0.625)
Rh (0.625, 0.625, 0.125)
Rh (0.625, 0.625, 0.625)

=====

Record 4
The following is a PBE calculation of a relaxed SrIn2Br crystal, from Alexandria via LeMat-Bulk.

Computed properties:
Its energy above the most stable polymorph in this dataset is 0.026 eV/atom. The calculated density comes out at 5.037 Mg/m³. Its space-group type is C2/m. The calculation puts the size of the total moment at 0.000 μB/atom. The density of states at the Fermi level comes out at 1.55 states/eV/cell.

a b c (Å): 7.227 7.227 4.818
angles (deg): 94.66 94.66 31.48
Fractional coordinates of all 4 atoms:
Sr (0.000, 0.000, 0.000)
In (0.262, 0.262, 0.764)
In (0.738, 0.738, 0.236)
Br (0.500, 0.500, 0.500)

=====

Record 5
The following is a PBE calculation of a relaxed Zn2CrIr2 crystal, from Alexandria via LeMat-Bulk.

Computed properties:
Its energy above the most stable polymorph in this dataset is 0.000 eV/atom. The calculated density comes out at 13.531 Mg/m³. The formation energy comes out at -199 meV/atom. Its space-group type is I4/mmm. The calculation puts the size of the total moment at 0.000 μB/atom. The density of states at the Fermi level comes out at 2.78 states/eV/cell.

a b c (Å): 9.309 9.309 9.309
angles (deg): 162.91 162.91 24.25
Fractional coordinates of all 5 atoms:
Zn (0.195, 0.195, 0.000)
Zn (0.805, 0.805, 0.000)
Cr (0.000, 0.000, 0.000)
Ir (0.407, 0.407, 0.000)
Ir (0.593, 0.593, 0.000)

=====

Record 6
The following is a PBE calculation of a relaxed Pm3BeC2 crystal, from Alexandria via LeMat-Bulk.

Computed properties:
The calculated density comes out at 6.723 Mg/m³. The formation energy comes out at 199 meV/atom. Its space-group type is Imma. The calculation puts the size of the total moment at 0.000 μB/atom. The density of states at the Fermi level comes out at 6.41 states/eV/cell.

a b c (Å): 6.786 6.786 6.786
angles (deg): 119.57 97.03 112.58
Fractional coordinates of all 12 atoms:
Pm (0.203, 0.000, 0.703)
Pm (0.203, 0.500, 0.203)
Pm (0.283, 0.033, 0.250)
Pm (0.717, 0.967, 0.750)
Pm (0.797, 0.000, 0.297)
Pm (0.797, 0.500, 0.797)
Be (0.325, 0.575, 0.750)
Be (0.675, 0.425, 0.250)
C (0.084, 0.334, 0.750)
C (0.500, 0.000, 0.000)
C (0.500, 0.500, 0.500)
C (0.916, 0.666, 0.250)

=====

Record 7
The following is a PBE calculation of a relaxed CuWI3 crystal, from Alexandria via LeMat-Bulk.

Computed properties:
Its energy above the most stable polymorph in this dataset is 0.000 eV/atom. The calculated density comes out at 5.850 Mg/m³. Its space-group type is Pm-3m. The calculation puts the size of the total moment at 0.709 μB/atom. The density of states at the Fermi level comes out at 2.51 states/eV/cell.

a b c (Å): 5.628 5.628 5.628
angles (deg): 90.00 90.00 90.00
Fractional coordinates of all 5 atoms:
Cu (0.000, 0.000, 0.000)
W (0.500, 0.500, 0.500)
I (0.000, 0.500, 0.500)
I (0.500, 0.000, 0.500)
I (0.500, 0.500, 0.000)

=====

Record 8
The following is a PBE calculation of a relaxed BaCuH6Pt crystal, from Alexandria via LeMat-Bulk.

Computed properties:
The calculated density comes out at 6.686 Mg/m³. The calculation puts the electronic total energy at -34.846 eV per formula unit. Its space-group type is P-6m2. The calculation puts the size of the total moment at 0.000 μB/atom. The density of states at the Fermi level comes out at 1.13 states/eV/cell.

a b c (Å): 4.844 4.844 4.912
angles (deg): 90.00 90.00 120.00
Fractional coordinates of all 9 atoms:
Ba (0.000, 0.000, 0.000)
Cu (0.333, 0.667, 0.500)
H (0.502, 0.005, 0.281)
H (0.502, 0.005, 0.719)
H (0.502, 0.498, 0.281)
H (0.502, 0.498, 0.719)
H (0.995, 0.498, 0.281)
H (0.995, 0.498, 0.719)
Pt (0.667, 0.333, 0.500)

=====

- Look up the calculated density of the third one.
  11.111 Mg/m³

=====

- calculated density of number 7 (CuWI3)?
  5.850 Mg/m³

=====

- The highest size of the total moment belongs to which entry?
  CuWI3